[1]
## Be9V2Tc (PBE-GGA)

Data for a geometry-optimized Be9V2Tc structure.

Geometry as POSCAR:
```
Be9V2Tc
1.0
4.1312 0.0000 1.2295
1.8826 3.6772 1.2295
0.0922 0.0564 7.2454
Be Tc V
9 1 2
Direct
0.5847 0.0785 0.7521
0.6658 0.6658 0.0027
0.0785 0.5847 0.7521
0.4153 0.9215 0.2479
0.5847 0.5847 0.7521
0.9215 0.4153 0.2479
0.5000 0.5000 0.5000
0.3342 0.3342 0.9973
0.4153 0.4153 0.2479
0.0000 0.0000 0.0000
0.8559 0.8559 0.4323
0.1441 0.1441 0.5677
```

## Properties
* SG: R-3m
* raw total energy: -5.43 eV/atom
* density of states at the Fermi level: 5.1 states/eV/f.u.

[2]
## B2PdWCl (PBE-GGA)

Data for a geometry-optimized B2PdWCl structure.

Geometry as POSCAR:
```
B2PdWCl
1.0
4.2508 0.0000 0.0000
0.0000 4.6644 0.0000
0.0000 0.0000 4.2508
B Pd Cl W
2 1 1 1
Direct
0.5000 0.0000 0.0000
0.0000 0.0000 0.5000
0.5000 0.5000 0.5000
0.0000 0.5000 0.0000
0.0000 0.0000 0.0000
```

## Properties
* energy relative to the elements, uncorrected: 1.317 eV per atom
* SG: P4/mmm
* raw total energy: -5.35 eV/atom
* density of states at the Fermi level: 4.9 states/eV/f.u.

[3]
## Tm3ThRu3 (PBE-GGA)

Data for a geometry-optimized Tm3ThRu3 structure.

Geometry as POSCAR:
```
Tm3ThRu3
1.0
5.4795 -0.0404 -1.9085
-2.8058 4.8507 -1.9854
0.0233 -0.0404 5.8023
Tm Ru Th
3 3 1
Direct
0.4097 0.0038 0.0000
0.5903 0.5941 0.5903
0.0000 0.0038 0.4097
0.4914 0.5005 0.0000
0.0000 0.5005 0.4914
0.5086 0.0091 0.5086
0.0000 0.4132 0.0000
```

## Properties
* SG: R3m
* raw total energy: -7.44 eV/atom
* density of states at the Fermi level: 4.4 states/eV/f.u.

[4]
## CaCoP2 (PBE-GGA)

Data for a geometry-optimized CaCoP2 structure.

Geometry as POSCAR:
```
CaCoP2
1.0
-0.2092 -1.9804 3.6931
-3.4064 -2.1255 -1.3328
2.4991 -3.0646 -1.5018
P Ca Co
2 1 1
Direct
0.5000 0.0000 0.2819
0.0000 0.0005 0.9703
0.0000 0.5000 0.4736
0.5000 0.9995 0.7742
```

## Properties
* SG: Pmm2
* raw total energy: -5.48 eV/atom
* density of states at the Fermi level: 2.9 states/eV/f.u.
* offset from the most stable computed form: 200 meV per atom